(1)
The following is a PBE-GGA calculation of a relaxed CsNdVS4 crystal, from Alexandria.

Values from the calculation:
**DOS at the Fermi energy**: 0.71 states/eV per atom
**Volume**: 29.32 Å³ per atom

a = 6.687 Å, b = 6.761 Å, c = 9.546 Å
α = 90.00°, β = 107.97°, γ = 90.00°
Atoms (fractional coordinates):
Cs: 0.230 0.250 0.438
Cs: 0.770 0.750 0.562
Nd: 0.277 0.250 0.955
Nd: 0.723 0.750 0.045
V: 0.273 0.750 0.163
V: 0.727 0.250 0.837
S: 0.079 0.750 0.311
S: 0.080 0.750 0.932
S: 0.500 0.000 0.197
S: 0.500 0.000 0.803
S: 0.500 0.500 0.197
S: 0.500 0.500 0.803
S: 0.920 0.250 0.068
S: 0.921 0.250 0.689

=====

(2)
The following is a PBE-GGA calculation of a relaxed Cs3Nd3VS8 crystal, from Alexandria.

Values from the calculation:
**DOS at the Fermi energy**: 0.44 states/eV per atom
**Volume**: 31.40 Å³ per atom

a = 9.471 Å, b = 9.471 Å, c = 9.471 Å
α = 50.84°, β = 50.84°, γ = 50.84°
Atoms (fractional coordinates):
Cs: 0.000 0.500 0.500
Cs: 0.500 0.000 0.500
Cs: 0.500 0.500 0.000
Nd: 0.000 0.000 0.500
Nd: 0.000 0.500 0.000
Nd: 0.500 0.000 0.000
V: 0.500 0.500 0.500
S: 0.230 0.230 0.230
S: 0.263 0.703 0.703
S: 0.297 0.297 0.737
S: 0.297 0.737 0.297
S: 0.703 0.263 0.703
S: 0.703 0.703 0.263
S: 0.737 0.297 0.297
S: 0.770 0.770 0.770

=====

(3)
The following is a PBE-GGA calculation of a relaxed Cs3Nd2YS6 crystal, from Alexandria.

Values from the calculation:
**DOS at the Fermi energy**: 0.00 states/eV per atom
**Volume**: 30.99 Å³ per atom

a = 7.285 Å, b = 7.285 Å, c = 8.448 Å
α = 98.26°, β = 98.26°, γ = 120.00°
Atoms (fractional coordinates):
Cs: 0.000 0.000 0.000
Cs: 0.332 0.668 0.000
Cs: 0.668 0.332 0.000
Nd: 0.167 0.833 0.500
Nd: 0.833 0.167 0.500
Y: 0.500 0.500 0.500
S: 0.113 0.438 0.315
S: 0.236 0.236 0.685
S: 0.438 0.113 0.315
S: 0.562 0.887 0.685
S: 0.764 0.764 0.315
S: 0.887 0.562 0.685

=====

(4)
The following is a PBE-GGA calculation of a relaxed Cs3NdY2S6 crystal, from Alexandria.

Values from the calculation:
**DOS at the Fermi energy**: 0.00 states/eV per atom
**Volume**: 30.26 Å³ per atom

a = 7.204 Å, b = 7.204 Å, c = 8.429 Å
α = 98.19°, β = 98.19°, γ = 120.00°
Atoms (fractional coordinates):
Cs: 0.000 0.000 0.000
Cs: 0.334 0.666 0.000
Cs: 0.666 0.334 0.000
Nd: 0.500 0.500 0.500
Y: 0.167 0.833 0.500
Y: 0.833 0.167 0.500
S: 0.098 0.439 0.316
S: 0.220 0.220 0.683
S: 0.439 0.098 0.316
S: 0.561 0.902 0.684
S: 0.780 0.780 0.317
S: 0.902 0.561 0.684

=====

(5)
The following is a PBE-GGA calculation of a relaxed Cs2NdZn2S4 crystal, from Alexandria.

Values from the calculation:
**DOS at the Fermi energy**: 0.45 states/eV per atom
**Volume**: 28.32 Å³ per atom

a = 8.078 Å, b = 8.078 Å, c = 8.161 Å
α = 108.53°, β = 108.53°, γ = 30.46°
Atoms (fractional coordinates):
Cs: 0.133 0.133 0.053
Cs: 0.867 0.867 0.947
Nd: 0.000 0.000 0.500
Zn: 0.325 0.325 0.512
Zn: 0.675 0.675 0.488
S: 0.199 0.199 0.647
S: 0.472 0.472 0.719
S: 0.528 0.528 0.281
S: 0.801 0.801 0.353

=====

(6)
The following is a PBE-GGA calculation of a relaxed Cs2Nd2ZrS6 crystal, from Alexandria.

Values from the calculation:
**DOS at the Fermi energy**: 0.00 states/eV per atom
**Volume**: 32.14 Å³ per atom

a = 7.015 Å, b = 7.015 Å, c = 8.598 Å
α = 98.11°, β = 98.11°, γ = 119.50°
Atoms (fractional coordinates):
Cs: 0.170 0.830 0.000
Cs: 0.830 0.170 0.000
Nd: 0.334 0.666 0.500
Nd: 0.666 0.334 0.500
Zr: 0.000 0.000 0.500
S: 0.061 0.370 0.679
S: 0.245 0.245 0.322
S: 0.370 0.061 0.679
S: 0.630 0.939 0.321
S: 0.755 0.755 0.678
S: 0.939 0.630 0.321

=====

(7)
The following is a PBE-GGA calculation of a relaxed Cs4Nd3ZrS8 crystal, from Alexandria.

Values from the calculation:
**DOS at the Fermi energy**: 0.30 states/eV per atom
**Volume**: 30.05 Å³ per atom

a = 9.399 Å, b = 9.399 Å, c = 9.399 Å
α = 52.28°, β = 52.28°, γ = 52.28°
Atoms (fractional coordinates):
Cs: 0.000 0.000 0.000
Cs: 0.000 0.500 0.500
Cs: 0.500 0.000 0.500
Cs: 0.500 0.500 0.000
Nd: 0.000 0.000 0.500
Nd: 0.000 0.500 0.000
Nd: 0.500 0.000 0.000
Zr: 0.500 0.500 0.500
S: 0.230 0.230 0.230
S: 0.249 0.717 0.717
S: 0.283 0.283 0.751
S: 0.283 0.751 0.283
S: 0.717 0.249 0.717
S: 0.717 0.717 0.249
S: 0.751 0.283 0.283
S: 0.770 0.770 0.770

=====

(8)
The following is a PBE-GGA calculation of a relaxed Cs3Nd3ZrS8 crystal, from Alexandria.

Values from the calculation:
**DOS at the Fermi energy**: 0.00 states/eV per atom
**Volume**: 32.28 Å³ per atom

a = 9.514 Å, b = 9.514 Å, c = 9.514 Å
α = 51.31°, β = 51.31°, γ = 51.31°
Atoms (fractional coordinates):
Cs: 0.000 0.500 0.500
Cs: 0.500 0.000 0.500
Cs: 0.500 0.500 0.000
Nd: 0.000 0.000 0.500
Nd: 0.000 0.500 0.000
Nd: 0.500 0.000 0.000
Zr: 0.500 0.500 0.500
S: 0.229 0.229 0.229
S: 0.251 0.713 0.713
S: 0.287 0.287 0.749
S: 0.287 0.749 0.287
S: 0.713 0.251 0.713
S: 0.713 0.713 0.251
S: 0.749 0.287 0.287
S: 0.771 0.771 0.771

=====

(9)
The following is a PBE-GGA calculation of a relaxed Cs2NdSbSe4 crystal, from Alexandria.

Values from the calculation:
**Volume**: 34.34 Å³ per atom

a = 9.193 Å, b = 9.193 Å, c = 9.193 Å
α = 120.30°, β = 119.70°, γ = 90.00°
Atoms (fractional coordinates):
Cs: 0.000 0.000 0.000
Cs: 0.500 0.000 0.000
Cs: 0.500 0.000 0.500
Cs: 0.500 0.500 0.500
Nd: 0.000 0.000 0.500
Nd: 0.000 0.500 0.000
Sb: 0.000 0.500 0.500
Sb: 0.500 0.500 0.000
Se: 0.191 0.728 0.462
Se: 0.232 0.273 0.541
Se: 0.232 0.690 0.959
Se: 0.234 0.272 0.962
Se: 0.766 0.728 0.038
Se: 0.768 0.310 0.041
Se: 0.768 0.727 0.459
Se: 0.809 0.272 0.538

=====

(10)
The following is a PBE-GGA calculation of a relaxed Cs3NdSb2Te6 crystal, from Alexandria.

Values from the calculation:
**Volume**: 41.26 Å³ per atom

a = 8.016 Å, b = 8.016 Å, c = 9.293 Å
α = 98.28°, β = 98.28°, γ = 120.00°
Atoms (fractional coordinates):
Cs: 0.000 0.000 0.000
Cs: 0.335 0.665 0.000
Cs: 0.665 0.335 0.000
Nd: 0.500 0.500 0.500
Sb: 0.167 0.833 0.500
Sb: 0.833 0.167 0.500
Te: 0.096 0.437 0.311
Te: 0.222 0.222 0.689
Te: 0.437 0.096 0.311
Te: 0.563 0.904 0.689
Te: 0.778 0.778 0.311
Te: 0.904 0.563 0.689

=====

(11)
The following is a PBE-GGA calculation of a relaxed Cs3NdSc2Se6 crystal, from Alexandria.

Values from the calculation:
**DOS at the Fermi energy**: 0.00 states/eV per atom
**Volume**: 31.60 Å³ per atom

a = 7.250 Å, b = 7.250 Å, c = 8.676 Å
α = 98.03°, β = 98.03°, γ = 119.99°
Atoms (fractional coordinates):
Cs: 0.000 0.000 0.000
Cs: 0.337 0.663 0.000
Cs: 0.663 0.337 0.000
Nd: 0.500 0.500 0.500
Sc: 0.167 0.833 0.500
Sc: 0.833 0.167 0.500
Se: 0.086 0.439 0.318
Se: 0.207 0.207 0.680
Se: 0.439 0.086 0.318
Se: 0.561 0.914 0.682
Se: 0.793 0.793 0.320
Se: 0.914 0.561 0.682

=====

(12)
The following is a PBE-GGA calculation of a relaxed Cs4Nd3ScSe8 crystal, from Alexandria.

Values from the calculation:
**DOS at the Fermi energy**: 0.00 states/eV per atom
**Volume**: 33.96 Å³ per atom

a = 9.761 Å, b = 9.761 Å, c = 9.761 Å
α = 52.60°, β = 52.60°, γ = 52.60°
Atoms (fractional coordinates):
Cs: 0.000 0.000 0.000
Cs: 0.000 0.500 0.500
Cs: 0.500 0.000 0.500
Cs: 0.500 0.500 0.000
Nd: 0.000 0.000 0.500
Nd: 0.000 0.500 0.000
Nd: 0.500 0.000 0.000
Sc: 0.500 0.500 0.500
Se: 0.231 0.231 0.231
Se: 0.246 0.720 0.720
Se: 0.280 0.280 0.754
Se: 0.280 0.754 0.280
Se: 0.720 0.246 0.720
Se: 0.720 0.720 0.246
Se: 0.754 0.280 0.280
Se: 0.769 0.769 0.769

=====

| no. | total moment (μB/f.u.) | raw formation energy (eV per formula unit) |
| --- | --- | --- |
| 1 | 1.0 | -9.798 |
| 2 | 1.0 | -22.944 |
| 3 | 0.0 | -21.799 |
| 4 | 0.0 | -21.913 |
| 5 | 0.0 | -10.270 |
| 6 | 0.0 | -19.305 |
| 7 | 0.0 | -27.001 |
| 8 | 0.0 | -26.508 |
| 9 | 0.0 | -9.026 |
| 10 | 0.0 | -9.774 |
| 11 | 0.0 | -19.312 |
| 12 | 0.0 | -26.778 |